A plane-wave DFT calculation with GGA-PBE was carried out for a relaxed NbRePO2 crystal.

The structure in POSCAR format:
```
NbRePO2
1.0
3.621 0.000 0.000
0.000 3.621 0.000
0.000 0.000 5.017
Nb Re P O
1 1 1 2
Direct
0.000 0.000 0.000 Nb
0.500 0.500 0.000 Re
0.500 0.500 0.500 P
0.000 0.500 0.500 O
0.500 0.000 0.500 O
```

VASP energy in eV/cell: -37.1
Formation energy without anion corrections in eV/atom: 0.145
ΔE to the lowest computed polymorph in eV/atom: 0.631
Space group: P4/mmm (123)

***

A plane-wave DFT calculation with GGA-PBE was carried out for a relaxed NaP2OsO crystal.

The structure in POSCAR format:
```
NaP2OsO
1.0
4.838 0.000 0.000
0.000 4.838 0.000
0.000 0.000 3.741
Na P Os O
1 2 1 1
Direct
0.000 0.000 0.000 Na
0.000 0.500 0.500 P
0.500 0.000 0.500 P
0.500 0.500 0.500 Os
0.500 0.500 0.000 O
```

VASP energy in eV/cell: -28.4
Formation energy without anion corrections in eV/atom: -0.015
ΔE to the lowest computed polymorph in eV/atom: 0.000
Space group: P4/mmm (123)

***

A plane-wave DFT calculation with GGA-PBE was carried out for a relaxed Ba3Ag2As4 crystal.

The structure in POSCAR format:
```
Ba3Ag2As4
1.0
6.070 -2.386 0.000
6.070 2.386 0.000
-1.375 0.000 8.945
Ba Ag As
3 2 4
Direct
0.000 0.000 0.000 Ba
0.340 0.340 0.331 Ba
0.660 0.660 0.669 Ba
0.382 0.382 0.724 Ag
0.618 0.618 0.276 Ag
0.063 0.063 0.386 As
0.279 0.279 0.960 As
0.721 0.721 0.040 As
0.937 0.937 0.614 As
```

VASP energy in eV/cell: -36.8
Space group: C2/m (12)

***

A plane-wave DFT calculation with GGA-PBE was carried out for a relaxed Si2W2Br crystal.

The structure in POSCAR format:
```
Si2W2Br
1.0
-1.708 1.708 6.974
1.708 -1.708 6.974
1.708 1.708 -6.974
Si W Br
2 2 1
Direct
0.250 0.750 0.500 Si
0.750 0.250 0.500 Si
0.118 0.118 0.000 W
0.882 0.882 0.000 W
0.500 0.500 0.000 Br
```

VASP energy in eV/cell: -35.8
Formation energy without anion corrections in eV/atom: 0.530
ΔE to the lowest computed polymorph in eV/atom: 0.165
Space group: I4/mmm (139)

***

A plane-wave DFT calculation with GGA-PBE was carried out for a relaxed Pa2TcP5 crystal.

The structure in POSCAR format:
```
Pa2TcP5
1.0
0.000 4.749 3.769
4.082 0.000 3.769
4.082 4.749 0.000
Pa Tc P
2 1 5
Direct
0.000 0.000 0.500 Pa
0.500 0.500 0.000 Pa
0.210 0.210 0.790 Tc
0.496 0.999 0.001 P
0.505 0.916 0.495 P
0.916 0.505 0.084 P
0.916 0.916 0.084 P
0.999 0.496 0.504 P
```

VASP energy in eV/cell: -61.9
Space group: Fmm2 (42)

***

A plane-wave DFT calculation with GGA-PBE was carried out for a relaxed Cs2Rb2H crystal.

The structure in POSCAR format:
```
Cs2Rb2H
1.0
2.425 1.400 16.486
-2.425 1.400 16.486
0.000 -2.800 16.486
Cs Rb H
2 2 1
Direct
0.131 0.131 0.131 Cs
0.869 0.869 0.869 Cs
0.376 0.376 0.376 Rb
0.624 0.624 0.624 Rb
0.500 0.500 0.500 H
```

VASP energy in eV/cell: -7.1
ΔE to the lowest computed polymorph in eV/atom: 0.000
Space group: R-3m (166)

***

A plane-wave DFT calculation with GGA-PBE was carried out for a relaxed CdP2Ru crystal.

The structure in POSCAR format:
```
CdP2Ru
1.0
3.579 -1.503 0.000
3.579 1.503 0.000
-2.491 0.000 6.780
Cd P Ru
1 2 1
Direct
0.000 0.000 0.000 Cd
0.265 0.265 0.671 P
0.735 0.735 0.329 P
0.500 0.500 0.500 Ru
```

VASP energy in eV/cell: -21.0
Space group: C2/m (12)

***

A plane-wave DFT calculation with GGA-PBE was carried out for a relaxed Tb3CoI2 crystal.

The structure in POSCAR format:
```
Tb3CoI2
1.0
-1.954 2.947 7.514
1.954 -2.947 7.514
1.954 2.947 -7.514
Tb Co I
3 1 2
Direct
0.000 0.000 0.000 Tb
0.387 0.387 0.000 Tb
0.613 0.613 0.000 Tb
0.500 0.000 0.500 Co
0.187 0.687 0.500 I
0.813 0.313 0.500 I
```

VASP energy in eV/cell: -28.0
Formation energy without anion corrections in eV/atom: -0.653
Space group: Immm (71)

***

A plane-wave DFT calculation with GGA-PBE was carried out for a relaxed Mn2ZnBi crystal.

The structure in POSCAR format:
```
Mn2ZnBi
1.0
0.000 3.285 3.285
3.285 0.000 3.285
3.285 3.285 0.000
Mn Zn Bi
2 1 1
Direct
0.250 0.250 0.250 Mn
0.750 0.750 0.750 Mn
0.000 0.000 0.000 Zn
0.500 0.500 0.500 Bi
```

VASP energy in eV/cell: -21.8
ΔE to the lowest computed polymorph in eV/atom: 0.000
Space group: Fm-3m (225)

***

A plane-wave DFT calculation with GGA-PBE was carried out for a relaxed Cs2NaIn4Bi3 crystal.

The structure in POSCAR format:
```
Cs2NaIn4Bi3
1.0
5.236 0.000 0.000
0.000 5.236 0.000
0.000 0.000 14.214
Cs Na In Bi
2 1 4 3
Direct
0.000 0.500 0.242 Cs
0.500 0.000 0.758 Cs
0.000 0.000 0.500 Na
0.000 0.000 0.000 In
0.000 0.500 0.634 In
0.500 0.000 0.366 In
0.500 0.500 0.000 In
0.000 0.500 0.876 Bi
0.500 0.000 0.124 Bi
0.500 0.500 0.500 Bi
```

VASP energy in eV/cell: -27.5
Space group: P-4m2 (115)

***

A plane-wave DFT calculation with GGA-PBE was carried out for a relaxed Pr2LuPu crystal.

The structure in POSCAR format:
```
Pr2LuPu
1.0
5.083 0.000 0.000
0.000 5.083 0.000
0.000 0.000 4.961
Pr Lu Pu
2 1 1
Direct
0.000 0.500 0.000 Pr
0.500 0.000 0.000 Pr
0.000 0.000 0.500 Lu
0.500 0.500 0.500 Pu
```

VASP energy in eV/cell: -27.8
ΔE to the lowest computed polymorph in eV/atom: 0.031
Space group: P4/mmm (123)

***

A plane-wave DFT calculation with GGA-PBE was carried out for a relaxed Rb2Au2Br5 crystal.

The structure in POSCAR format:
```
Rb2Au2Br5
1.0
9.249 -2.716 0.000
9.249 2.716 0.000
-2.289 0.000 6.894
Rb Au Br
2 2 5
Direct
0.113 0.113 0.305 Rb
0.887 0.887 0.695 Rb
0.407 0.407 0.207 Au
0.593 0.593 0.793 Au
0.089 0.089 0.795 Br
0.315 0.315 0.404 Br
0.500 0.500 0.000 Br
0.685 0.685 0.596 Br
0.911 0.911 0.205 Br
```

VASP energy in eV/cell: -24.4
Formation energy without anion corrections in eV/atom: -0.837
ΔE to the lowest computed polymorph in eV/atom: 0.000
Space group: C2/m (12)